Entry 1
The following is a DFT calculation (PBE-GGA) of a relaxed structure of AlTlAs2Se.

crystal system: tetragonal
space group: P4/mmm (123)

Cell: 4.9460 4.9460 5.1390 Å, 90.00 90.00 90.00°
Last column: nearest neighbours and their distance in Å.
Fractional coordinates of all 5 atoms:
As 0.0000 0.5000 0.0000  2 Al 2.47
As 0.5000 0.0000 0.0000  2 Al 2.47
Se 0.0000 0.0000 0.5000  2 Al 2.57
Tl 0.5000 0.5000 0.5000  4 Se 3.50, 8 As 3.57
Al 0.0000 0.0000 0.0000  4 As 2.47, 2 Se 2.57

***

Entry 2
The following is a DFT calculation (PBE-GGA) of a relaxed structure of AlTlAs2Se.

crystal system: tetragonal
space group: P4/mmm (123)

Cell: 5.3540 5.3540 5.4964 Å, 90.00 90.00 90.00°
Last column: nearest neighbours and their distance in Å.
Fractional coordinates of all 5 atoms:
As 0.5000 0.0000 0.0000  2 Tl 2.68
As 0.0000 0.5000 0.0000  2 Tl 2.68
Se 0.0000 0.0000 0.5000  2 Tl 2.75
Tl 0.0000 0.0000 0.0000  4 As 2.68, 2 Se 2.75
Al 0.5000 0.5000 0.5000  4 Se 3.79, 8 As 3.84

***

Computed energies relative to the best structure, in eV/atom: entry 1 0.000; entry 2 0.802

***

Entry 1
The following is a DFT calculation (PBE-GGA) of a relaxed structure of YAlAsSe2.

crystal system: tetragonal
space group: P4/mmm (123)

Cell: 4.9342 4.9342 4.8085 Å, 90.00 90.00 90.00°
Last column: nearest neighbours and their distance in Å.
Fractional coordinates of all 5 atoms:
Se 0.5000 0.0000 0.0000  2 Al 2.47
Se 0.0000 0.5000 0.0000  2 Al 2.47
Y 0.5000 0.5000 0.5000  8 Se 3.44, 4 As 3.49
As 0.0000 0.0000 0.5000  2 Al 2.40
Al 0.0000 0.0000 0.0000  2 As 2.40, 4 Se 2.47

***

Entry 2
The following is a DFT calculation (PBE-GGA) of a relaxed structure of YAlAsSe2.

crystal system: tetragonal
space group: P4/mmm (123)

Cell: 5.4680 5.4680 5.5445 Å, 90.00 90.00 90.00°
Last column: nearest neighbours and their distance in Å.
Fractional coordinates of all 5 atoms:
Se 0.5000 0.0000 0.0000  2 Y 2.73
Se 0.0000 0.5000 0.0000  2 Y 2.73
As 0.0000 0.0000 0.5000  2 Y 2.77
Al 0.5000 0.5000 0.5000  4 As 3.87, 8 Se 3.89
Y 0.0000 0.0000 0.0000  4 Se 2.73, 2 As 2.77

***

Computed energies relative to the best structure, in eV/atom: entry 1 0.000; entry 2 0.485

***

Entry 1
The following is a DFT calculation (PBE-GGA) of a relaxed structure of ZrAlAs2Se.

crystal system: tetragonal
space group: P4/mmm (123)

Cell: 5.2305 5.2305 5.1945 Å, 90.00 90.00 90.00°
Last column: nearest neighbours and their distance in Å.
Fractional coordinates of all 5 atoms:
As 0.0000 0.5000 0.0000  2 Zr 2.62
As 0.5000 0.0000 0.0000  2 Zr 2.62
Zr 0.0000 0.0000 0.0000  2 Se 2.60, 4 As 2.62
Al 0.5000 0.5000 0.5000  8 As 3.69, 4 Se 3.70
Se 0.0000 0.0000 0.5000  2 Zr 2.60

***

Entry 2
The following is a DFT calculation (PBE-GGA) of a relaxed structure of ZrAlAs2Se.

crystal system: tetragonal
space group: P4/mmm (123)

Cell: 4.7559 4.7559 4.9102 Å, 90.00 90.00 90.00°
Last column: nearest neighbours and their distance in Å.
Fractional coordinates of all 5 atoms:
As 0.0000 0.5000 0.0000  2 Al 2.38
As 0.5000 0.0000 0.0000  2 Al 2.38
Se 0.0000 0.0000 0.5000  2 Al 2.46
Al 0.0000 0.0000 0.0000  4 As 2.38, 2 Se 2.46
Zr 0.5000 0.5000 0.5000  4 Se 3.36, 8 As 3.42

***

Computed energies relative to the best structure, in eV/atom: entry 1 0.000; entry 2 0.093

***

Entry 1
The following is a DFT calculation (PBE-GGA) of a relaxed structure of AlSiAs.

crystal system: hexagonal
space group: P-6m2 (187)

Cell: 4.8004 4.8004 2.6935 Å, 90.00 90.00 120.00°
Last column: nearest neighbours and their distance in Å.
Fractional coordinates of all 3 atoms:
As 0.6667 0.3333 0.3343  2 As 2.69, 3 Si 2.77, 3 Al 2.77
Al 0.0000 0.0000 0.3326  2 Al 2.69, 3 Si 2.77, 3 As 2.77
Si 0.3333 0.6667 0.3331  2 Si 2.69, 3 Al 2.77, 3 As 2.77

***

Entry 2
The following is a DFT calculation (PBE-GGA) of a relaxed structure of AlSiAs.

crystal system: orthorhombic
space group: Amm2 (38)

Cell: 2.8484 2.8482 14.6174 Å, 90.00 90.00 120.00°
Last column: nearest neighbours and their distance in Å.
Fractional coordinates of all 6 atoms:
Al 0.6659 0.3317 0.3482  3 Si 2.76, 6 Al 2.85, 3 As 3.00
Al 0.6659 0.3317 0.6518  3 Si 2.76, 6 Al 2.85, 3 As 3.00
Si 0.3337 0.6675 0.0000  2 As 2.58, 6 Si 2.85
Si 0.3329 0.6658 0.5000  6 Al 2.76, 6 Si 2.85
As 0.3341 0.6682 0.8235  1 Si 2.58, 6 As 2.85
As 0.3341 0.6682 0.1765  1 Si 2.58, 6 As 2.85

***

Entry 3
The following is a DFT calculation (PBE-GGA) of a relaxed structure of AlSiAs.

crystal system: orthorhombic
space group: Fmm2 (42)

Cell: 7.0480 6.8252 2.8820 Å, 82.38 73.71 23.91°
Last column: nearest neighbours and their distance in Å.
Fractional coordinates of all 3 atoms:
As 0.3346 0.3346 0.6654  2 Al 2.76, 2 Si 2.80, 4 As 2.88
Al 0.0036 0.0036 0.9964  2 Si 2.65, 2 As 2.76, 4 Al 2.88
Si 0.6619 0.6619 0.3381  2 Al 2.65, 2 As 2.80, 4 Si 2.88

***

Entry 4
The following is a DFT calculation (PBE-GGA) of a relaxed structure of AlSiAs.

crystal system: tetragonal
space group: I4mm (107)

Cell: 5.3387 5.3387 5.3387 Å, 144.61 144.61 50.92°
Last column: nearest neighbours and their distance in Å.
Fractional coordinates of all 3 atoms:
As 0.3192 0.3192 0.0000  4 Si 2.69, 5 Al 2.93-3.01
Al 0.0073 0.0073 0.0000  4 Si 2.80, 5 As 2.93-3.01
Si 0.6735 0.6735 0.0000  4 As 2.69, 4 Al 2.80

***

Computed energies relative to the best structure, in eV/atom: entry 1 0.008; entry 2 0.000; entry 3 0.098; entry 4 0.027

***

Entry 1
The following is a DFT calculation (PBE-GGA) of a relaxed structure of AlSiAs.

crystal system: cubic
space group: F-43m (216)

Cell: 4.3793 4.3793 4.3793 Å, 60.00 60.00 60.00°
Last column: nearest neighbours and their distance in Å.
Fractional coordinates of all 3 atoms:
As 0.0000 0.0000 0.0000  4 Al 2.68
Si 0.5000 0.5000 0.5000  4 Al 2.68
Al 0.2500 0.2500 0.2500  4 As 2.68, 4 Si 2.68

***

Entry 2
The following is a DFT calculation (PBE-GGA) of a relaxed structure of AlSiAs.

crystal system: trigonal
space group: P3m1 (156)

Cell: 2.9148 2.9148 7.4766 Å, 90.00 90.00 120.00°
Last column: nearest neighbours and their distance in Å.
Fractional coordinates of all 3 atoms:
Si 0.6667 0.3333 0.7183  3 Al 2.65, 6 Si 2.91
Al 0.0000 0.0000 0.9926  3 Si 2.65, 3 As 2.78, 6 Al 2.91
As 0.3333 0.6667 0.2890  3 Al 2.78, 6 As 2.91

***

Computed energies relative to the best structure, in eV/atom: entry 1 0.000; entry 2 0.046

***

Entry 1
The following is a DFT calculation (PBE-GGA) of a relaxed structure of AlSi2As.

crystal system: orthorhombic
space group: Fmmm (69)

Cell: 3.7050 5.5035 3.7046 Å, 71.44 86.87 108.56°
Last column: nearest neighbours and their distance in Å.
Fractional coordinates of all 4 atoms:
Si 0.0000 0.0000 0.0000  4 Si 2.55-2.69, 2 Al 2.79, 2 As 2.79
Si 0.5000 0.0000 0.5000  4 Si 2.55-2.69, 2 As 2.79, 2 Al 2.79
Al 0.0000 0.5000 0.5000  4 As 2.55-2.69, 4 Si 2.79
As 0.5000 0.5000 0.0000  4 Al 2.55-2.69, 4 Si 2.79

***

Entry 2
The following is a DFT calculation (PBE-GGA) of a relaxed structure of AlSi2As.

crystal system: trigonal
space group: R3m (160)

Cell: 8.8323 8.8323 8.8323 Å, 19.71 19.71 19.71°
Last column: nearest neighbours and their distance in Å.
Fractional coordinates of all 4 atoms:
Al 0.5067 0.5067 0.5067  3 Si 2.61, 3 As 2.72
Si 0.9853 0.9853 0.9853  3 Si 2.53
Si 0.2482 0.2482 0.2482  3 Si 2.53, 3 Al 2.61
As 0.7598 0.7598 0.7598  3 Al 2.72, 6 As 3.02

***

Computed energies relative to the best structure, in eV/atom: entry 1 0.000; entry 2 0.195